Record 1
An optimized crystal structure of Hg23BiPb6. Source: the Alexandria database, functional PBE.

## Properties
crystal system	cubic
formation energy from the elements	0.060	eV per atom
total magnetic moment	0.0	μB/cell
N(E_F)	12.34	states/eV/f.u.
ρ	12.13	Mg/m³

```
data_Hg23BiPb6
_cell_length_a 14.9213
_cell_length_b 14.9213
_cell_length_c 14.9213
_cell_angle_alpha 90.00
_cell_angle_beta 90.00
_cell_angle_gamma 90.00
_symmetry_space_group_name_H-M 'F m -3 m'
_symmetry_Int_Tables_number 225
_symmetry_space_group_name_Hall '-F 4 2 3'
loop_
_atom_site_label
_atom_site_type_symbol
_atom_site_fract_x
_atom_site_fract_y
_atom_site_fract_z
_atom_site_occupancy
Hg1 Hg 0.0000 0.0000 0.0000 1
Hg2 Hg 0.0000 0.2500 0.2500 1
Hg3 Hg 0.1239 0.1239 0.1239 1
Hg4 Hg 0.1473 0.1473 0.3527 1
Bi1 Bi 0.0000 0.0000 0.5000 1
Pb1 Pb 0.0000 0.0000 0.2710 1
```

---

Record 2
An optimized crystal structure of Hg2Bi5Pb12. Source: the Alexandria database, functional PBE.

## Properties
crystal system	monoclinic
formation energy from the elements	0.069	eV per atom
total magnetic moment	0.0	μB/cell
N(E_F)	10.46	states/eV/f.u.
E above lowest polymorph	0.098	eV/f.u.
ρ	10.43	Mg/m³

```
data_Hg2Bi5Pb12
_cell_length_a 16.2370
_cell_length_b 9.4428
_cell_length_c 8.2591
_cell_angle_alpha 90.00
_cell_angle_beta 98.44
_cell_angle_gamma 90.00
_symmetry_space_group_name_H-M 'C 1 2/m 1'
_symmetry_Int_Tables_number 12
_symmetry_space_group_name_Hall '-C 2y'
loop_
_atom_site_label
_atom_site_type_symbol
_atom_site_fract_x
_atom_site_fract_y
_atom_site_fract_z
_atom_site_occupancy
Hg1 Hg 0.0000 0.2365 0.0000 1
Bi1 Bi 0.0000 0.0000 0.5000 1
Bi2 Bi 0.1506 0.5000 0.1013 1
Bi3 Bi 0.2152 0.0000 0.5409 1
Pb1 Pb 0.0574 0.5000 0.7265 1
Pb2 Pb 0.1012 0.2881 0.4134 1
Pb3 Pb 0.1216 0.0000 0.8772 1
Pb4 Pb 0.2412 0.3068 0.8043 1
```